(1)
PBEsol CaIr2Pt, optimized geometry; energy relative to the elements = -0.2 eV per formula unit; total magnetization = 0.000 μB per atom; SG = C2/m (12); ΔE to the lowest computed polymorph = 38 meV per atom
1.0
9.4154 0.0000 0.0000
0.0000 2.7701 0.0000
-0.7957 0.0000 4.9765
Ca Ir Pt
2 4 2
Cartesian
0.0000 0.0000 0.0000
4.7077 1.3851 0.0000
1.7125 0.0000 3.5649
2.1995 1.3851 1.4116
6.4202 1.3851 3.5649
6.9072 0.0000 1.4116
-0.3978 1.3851 2.4883
4.3098 0.0000 2.4883

(2)
PBEsol ZrNbBr2F, optimized geometry; total magnetization = 0.139 μB per atom; uncorrected formation energy = -23.9 kJ per mole of atoms; SG = P4/mmm (123)
1.0
5.2506 0.0000 0.0000
0.0000 5.2506 0.0000
0.0000 0.0000 4.0143
Zr Nb Br F
1 1 2 1
Cartesian
0.0000 0.0000 0.0000
2.6253 2.6253 2.0071
0.0000 2.6253 2.0071
2.6253 0.0000 2.0071
2.6253 2.6253 0.0000

(3)
PBEsol Y2Fe17C3, optimized geometry; energy relative to the elements = -2.0 eV per formula unit; total magnetization = 1.415 μB per atom; SG = R-3m (166)
1.0
4.2312 2.4429 4.0853
-4.2312 2.4429 4.0853
0.0000 -4.8858 4.0853
Y Fe C
2 17 3
Cartesian
0.0000 0.0000 1.9107
0.0000 0.0000 10.3451
-2.1156 -1.2215 4.0853
0.0000 -2.3926 3.9154
-2.0721 1.1963 3.9154
-1.1963 -2.0721 6.1279
-2.3926 0.0000 6.1279
-2.0721 -1.1963 8.3404
0.0000 0.0000 4.9589
-2.1156 1.2215 8.1705
1.1963 -2.0721 6.1279
0.0000 2.4429 4.0853
-1.1963 2.0721 6.1279
0.0000 0.0000 7.2969
2.0721 1.1963 3.9154
2.3926 0.0000 6.1279
1.1963 2.0721 6.1279
2.0721 -1.1963 8.3404
0.0000 2.3926 8.3404
-4.2312 0.0000 6.1279
-2.1156 1.2215 2.0426
2.1156 1.2215 2.0426

(4)
PBEsol ScGaTeN2, optimized geometry; total magnetization = 0.263 μB per atom; uncorrected formation energy = 59.2 kJ per mole of atoms; SG = P4/mmm (123)
1.0
3.9295 0.0000 0.0000
0.0000 3.9295 0.0000
0.0000 0.0000 5.5018
Sc Ga Te N
1 1 1 2
Cartesian
0.0000 0.0000 0.0000
1.9648 1.9648 2.7509
1.9648 1.9648 0.0000
0.0000 1.9648 2.7509
1.9648 0.0000 2.7509

(5)
PBEsol LiRePPt2, optimized geometry; energy relative to the elements = 1.7 eV per formula unit; total magnetization = 0.216 μB per atom; SG = P4/mmm (123)
1.0
4.4575 0.0000 0.0000
0.0000 4.4575 0.0000
0.0000 0.0000 4.3597
Li Re P Pt
1 1 1 2
Cartesian
0.0000 0.0000 0.0000
2.2287 2.2287 0.0000
2.2287 2.2287 2.1799
0.0000 2.2287 2.1799
2.2287 0.0000 2.1799

(6)
PBEsol YCrPRh2, optimized geometry; energy relative to the elements = -2.0 eV per formula unit; total magnetization = 0.369 μB per atom; SG = P4/mmm (123)
1.0
4.4142 0.0000 0.0000
0.0000 4.4142 0.0000
0.0000 0.0000 4.2640
Y Cr P Rh
1 1 1 2
Cartesian
0.0000 0.0000 0.0000
2.2071 2.2071 0.0000
2.2071 2.2071 2.1320
0.0000 2.2071 2.1320
2.2071 0.0000 2.1320

(7)
PBEsol LaPdPb, optimized geometry; energy relative to the elements = -2.3 eV per formula unit; total magnetization = 0.000 μB per atom; SG = P-62m (189)
1.0
7.7387 0.0000 0.0000
-3.8694 6.7019 0.0000
0.0000 0.0000 4.1686
La Pd Pb
3 3 3
Cartesian
-2.2747 3.9400 0.0000
1.5946 2.7620 0.0000
4.5495 0.0000 0.0000
0.0000 0.0000 0.0000
0.0000 4.4680 2.0843
3.8694 2.2340 2.0843
-0.9816 1.7002 2.0843
1.9632 0.0000 2.0843
2.8878 5.0018 2.0843

(8)
PBEsol BaLiHg3, optimized geometry; energy relative to the elements = -1.9 eV per formula unit; total magnetization = 0.000 μB per atom; SG = Pm-3m (221)
1.0
5.0889 0.0000 0.0000
0.0000 5.0889 0.0000
0.0000 0.0000 5.0889
Ba Li Hg
1 1 3
Cartesian
0.0000 0.0000 0.0000
2.5444 2.5444 2.5444
0.0000 2.5444 2.5444
2.5444 0.0000 2.5444
2.5444 2.5444 0.0000

(9)
PBEsol Ho2IrRh, optimized geometry; energy relative to the elements = -3.5 eV per formula unit; total magnetization = 0.000 μB per atom; SG = Fm-3m (225)
1.0
6.7120 0.0000 0.0000
0.0000 6.7120 0.0000
0.0000 0.0000 6.7120
Ho Ir Rh
8 4 4
Cartesian
1.6780 1.6780 1.6780
1.6780 1.6780 5.0340
1.6780 5.0340 1.6780
1.6780 5.0340 5.0340
5.0340 1.6780 1.6780
5.0340 1.6780 5.0340
5.0340 5.0340 1.6780
5.0340 5.0340 5.0340
0.0000 0.0000 0.0000
0.0000 3.3560 3.3560
3.3560 0.0000 3.3560
3.3560 3.3560 0.0000
0.0000 0.0000 3.3560
0.0000 3.3560 0.0000
3.3560 0.0000 0.0000
3.3560 3.3560 3.3560

(10)
PBEsol Ta2HgRu, optimized geometry; energy relative to the elements = 0.8 eV per formula unit; total magnetization = 0.000 μB per atom; SG = I-4m2 (119)
1.0
3.9698 0.0000 0.0000
0.0000 3.9698 0.0000
0.0000 0.0000 8.5303
Ta Hg Ru
4 2 2
Cartesian
0.0000 0.0000 0.0000
0.0000 1.9849 2.1326
1.9849 0.0000 6.3977
1.9849 1.9849 4.2652
0.0000 0.0000 4.2652
1.9849 1.9849 0.0000
0.0000 1.9849 6.3977
1.9849 0.0000 2.1326

(11)
PBEsol Mg2AlFe, optimized geometry; energy relative to the elements = 0.7 eV per formula unit; total magnetization = 0.447 μB per atom; SG = F-43m (216)
1.0
6.3141 0.0000 0.0000
0.0000 6.3141 0.0000
0.0000 0.0000 6.3141
Mg Al Fe
8 4 4
Cartesian
0.0000 0.0000 0.0000
0.0000 3.1570 3.1570
1.5785 1.5785 1.5785
1.5785 4.7356 4.7356
3.1570 0.0000 3.1570
3.1570 3.1570 0.0000
4.7356 1.5785 4.7356
4.7356 4.7356 1.5785
0.0000 0.0000 3.1570
0.0000 3.1570 0.0000
3.1570 0.0000 0.0000
3.1570 3.1570 3.1570
1.5785 1.5785 4.7356
1.5785 4.7356 1.5785
4.7356 1.5785 1.5785
4.7356 4.7356 4.7356

(12)
PBEsol MgTlI3, optimized geometry; total magnetization = 0.000 μB per atom; uncorrected formation energy = -71.2 kJ per mole of atoms; SG = Pm-3m (221)
1.0
5.6817 0.0000 0.0000
0.0000 5.6817 0.0000
0.0000 0.0000 5.6817
Mg Tl I
1 1 3
Cartesian
0.0000 0.0000 0.0000
2.8408 2.8408 2.8408
0.0000 0.0000 2.8408
0.0000 2.8408 0.0000
2.8408 0.0000 0.0000

Q: Number 2 is which compound?
A: ZrNbBr2F

Q: Which value of total magnetization does entry 8 give?
A: 0.000 μB per atom

Q: Which value of total magnetization does entry 1 give?
A: 0.000 μB per atom